1.
Below is an optimized crystal structure of Ac2Ce2Te5, with properties calculated at the PBE level.

It has space group Cmce (No. 64), with a = 16.5617 Å, b = 8.6287 Å, c = 8.5909 Å, α = 90.00°, β = 90.00° and γ = 90.00°. Symmetry generates all atoms from Ac at (0.1968, 0.0000, 0.0000), Ce at (0.0000, 0.1453, 0.3505), Te at (0.0000, 0.0000, 0.0000) and Te at (0.1349, 0.1584, 0.6548).

Its formation energy from raw total energies is -1.44 eV/atom.

2.
Below is an optimized crystal structure of Co2NiAs, with properties calculated at the PBE level.

It has space group I4/mmm (No. 139), with a = 3.6771 Å, b = 3.6771 Å, c = 6.6947 Å, α = 90.00°, β = 90.00° and γ = 90.00°. Symmetry generates all atoms from Co at (0.0000, 0.5000, 0.2500), Ni at (0.0000, 0.0000, 0.0000) and As at (0.0000, 0.0000, 0.5000).

The value obtained for the formation energy is -33 meV per atom.

3.
Below is an optimized crystal structure of Be2TeCl, with properties calculated at the PBE level.

It has space group Pm (No. 6), with a = 4.4702 Å, b = 3.6604 Å, c = 5.0482 Å, α = 90.00°, β = 93.36° and γ = 90.00°. Symmetry generates all atoms from Be at (0.0000, 0.0000, 0.0000), Be at (0.1593, 0.5000, 0.6764), Te at (0.6816, 0.5000, 0.8807) and Cl at (0.1863, 0.0000, 0.3825).

For the polymorph energy (0 for the lowest one), the calculation gives 0 kJ/mol of formula units. Its formation energy from raw total energies is -0.14 eV/atom.

In eV for the cell shown, the final energy values for the records above are, in order, -194.947, -49.548, -13.016.